[1]
VASP calculation (PBE) on Li2LaY after structural relaxation.

POSCAR file:
```
Li2LaY
1.0
-3.858 -3.772 0.035
-5.188 1.450 0.317
-3.233 -0.592 -4.279
Y Li La
1 2 1
direct
0.000 0.000 0.000
0.250 0.250 0.250
0.750 0.750 0.750
0.500 0.500 0.500
```

Output
For the relative energy among the computed polymorphs, the calculation gives 31.4 kJ/mol of formula units. As for the symmetry: Fm-3m (225). The calculated formation energy is 56.1 kJ/mol of formula units. For the electronic total energy, the calculation gives -14.638 eV for the cell shown.

---

[2]
VASP calculation (PBE) on Ac6CdSi2I3 after structural relaxation.

POSCAR file:
```
Ac6CdSi2I3
1.0
-0.234 -1.495 4.355
-4.287 -8.271 -3.070
10.425 -1.243 -2.308
Si Ac I Cd
2 6 3 1
direct
0.169 0.336 0.338
0.831 0.664 0.662
0.323 0.444 0.645
0.336 0.880 0.672
0.985 0.759 0.970
0.677 0.556 0.355
0.015 0.241 0.030
0.664 0.120 0.328
0.500 0.500 0.000
0.835 0.170 0.670
0.165 0.830 0.330
0.500 0.000 0.000
```

Output
The energy relative to the elements, uncorrected is -782 meV per atom. As for the symmetry: C2/m (12). For the electronic total energy, the calculation gives -50.448 eV for the cell shown.